(1)
# ScTi2Cu2 (GGA-PBE, optimized geometry)
# E_tot = -58.06 eV for the cell shown
# Distance to the lowest polymorph of the same formula = 270 meV per atom
data_ScTi2Cu2
_chemical_formula_sum 'Sc2 Ti4 Cu4'
_cell_length_a 3.895
_cell_length_b 3.895
_cell_length_c 11.598
_cell_angle_alpha 90.00
_cell_angle_beta 90.00
_cell_angle_gamma 90.00
_symmetry_space_group_name_H-M 'I 4/m m m'
_symmetry_Int_Tables_number 139
_symmetry_space_group_name_Hall '-I 4 2'
loop_
_atom_site_label
_atom_site_fract_x
_atom_site_fract_y
_atom_site_fract_z
Sc1 0.000 0.000 0.000
Ti1 0.000 0.000 0.389
Cu1 0.000 0.500 0.250

(2)
# K2AcB2Se6 (GGA-PBE, optimized geometry)
# Energy relative to the elements, uncorrected = -781 meV per atom
# E_tot = -49.16 eV for the cell shown
data_K2AcB2Se6
_chemical_formula_sum 'K2 Ac1 B2 Se6'
_cell_length_a 7.2232
_cell_length_b 7.2232
_cell_length_c 8.1786
_cell_angle_alpha 90.00
_cell_angle_beta 90.00
_cell_angle_gamma 120.00
_symmetry_space_group_name_H-M 'P -3'
_symmetry_Int_Tables_number 147
_symmetry_space_group_name_Hall '-P 3'
loop_
_atom_site_label
_atom_site_fract_x
_atom_site_fract_y
_atom_site_fract_z
K1 0.3333 0.6667 0.3476
Ac1 0.0000 0.0000 0.0000
B1 0.3333 0.6667 0.7642
Se1 0.1775 0.3565 0.7393

(3)
# CuH6RhPb2 (GGA-PBE, optimized geometry)
# E_tot = -75.14 eV for the cell shown
data_CuH6RhPb2
_chemical_formula_sum 'Cu2 H12 Rh2 Pb4'
_cell_length_a 6.815
_cell_length_b 6.777
_cell_length_c 5.633
_cell_angle_alpha 90.00
_cell_angle_beta 105.42
_cell_angle_gamma 90.00
_symmetry_space_group_name_H-M 'C 1 m 1'
_symmetry_Int_Tables_number 8
_symmetry_space_group_name_Hall 'C -2y'
loop_
_atom_site_label
_atom_site_fract_x
_atom_site_fract_y
_atom_site_fract_z
Cu1 0.000 0.000 0.000
H1 0.033 0.000 0.293
H2 0.063 0.500 0.232
H3 0.228 0.500 0.979
H4 0.262 0.000 0.041
H5 0.488 0.242 0.012
Rh1 0.470 0.000 0.937
Pb1 0.149 0.250 0.599

(4)
# NiSbP (GGA-PBE, optimized geometry)
# Energy relative to the elements, uncorrected = -231 meV per atom
# E_tot = -64.03 eV for the cell shown
# Distance to the lowest polymorph of the same formula = 2 meV per atom
data_NiSbP
_chemical_formula_sum 'Ni4 Sb4 P4'
_cell_length_a 6.085
_cell_length_b 5.928
_cell_length_c 6.108
_cell_angle_alpha 90.00
_cell_angle_beta 106.48
_cell_angle_gamma 90.00
_symmetry_space_group_name_H-M 'P 1 21/c 1'
_symmetry_Int_Tables_number 14
_symmetry_space_group_name_Hall '-P 2ybc'
loop_
_atom_site_label
_atom_site_fract_x
_atom_site_fract_y
_atom_site_fract_z
Ni1 0.219 0.020 0.234
Sb1 0.345 0.625 0.151
P1 0.138 0.141 0.862